1.
5
Lattice="5.889 0.000 0.000 0.000 5.889 0.000 0.000 0.000 3.392" Properties=species:S:1:pos:R:3 comment="PbCI2O, optimized geometry, DFT PBE" raw_formation_energy_kj_per_mol_fu=406.0 e_tot_ev_per_atom=-3.356 volume_a3_per_cell=117.63 dos_ef_per_ev_cell=2.21 pbc="T T T"
I 0.000 2.944 0.000
I 2.944 0.000 0.000
O 0.000 0.000 1.696
C 0.000 0.000 0.000
Pb 2.944 2.944 1.696



2.
4
Lattice="4.644 -0.011 0.000 1.525 4.386 0.000 -3.084 -2.188 2.695" Properties=species:S:1:pos:R:3 comment="CrReRu2, optimized geometry, DFT PBE" e_tot_ev_per_atom=-10.089 ef_ev_per_atom=0.07 volume_a3_per_cell=54.94 dos_ef_per_ev_cell=4.90 pbc="T T T"
Cr 0.762 2.193 1.348
Ru 3.084 2.188 0.000
Ru 0.000 0.000 0.000
Re 2.322 -0.005 1.348



3.
3
Lattice="5.206 -0.004 0.000 3.180 4.122 0.000 -4.193 -2.059 2.299" Properties=species:S:1:pos:R:3 comment="InReSi, optimized geometry, DFT PBE" raw_formation_energy_kj_per_mol_fu=25.2 e_tot_ev_per_atom=-6.783 volume_a3_per_cell=49.36 dos_ef_per_ev_cell=0.14 pbc="T T T"
Re 2.550 1.252 0.000
In 0.002 0.001 0.000
Si 5.834 2.865 0.000



4.
8
Lattice="4.395 0.000 0.000 0.000 7.613 0.141 0.000 -2.681 8.161" Properties=species:S:1:pos:R:3 comment="TbUIn2Te4, optimized geometry, DFT PBE" raw_formation_energy_kj_per_mol_fu=-536.8 e_tot_ev_per_atom=-4.941 volume_a3_per_cell=274.71 dos_ef_per_ev_cell=8.96 pbc="T T T"
Tb 2.197 3.806 0.070
In 0.000 2.466 4.151
In 2.197 -1.341 4.081
Te 0.000 5.034 1.905
Te 0.000 -0.102 6.397
Te 2.197 1.243 1.844
Te 2.197 3.689 6.458
U 0.000 0.000 0.000



5.
4
Lattice="4.759 0.000 0.000 2.379 4.121 0.000 2.379 1.374 3.885" Properties=species:S:1:pos:R:3 comment="BaIr2Os, optimized geometry, DFT PBE" e_tot_ev_per_atom=-6.393 ef_ev_per_atom=1.33 volume_a3_per_cell=76.19 dos_ef_per_ev_cell=7.73 pbc="T T T"
Ba 4.759 2.747 1.943
Ir 0.000 0.000 0.000
Ir 7.138 4.121 2.914
Os 2.379 1.374 0.971



6.
10
Lattice="-3.261 -1.329 -5.090 -5.169 -2.720 2.047 2.530 5.379 1.725" Properties=species:S:1:pos:R:3 comment="TiZnBi2O6, optimized geometry, DFT PBE" raw_formation_energy_kj_per_mol_fu=-1715.7 e_tot_ev_per_atom=-6.446 volume_a3_per_cell=138.96 dos_ef_per_ev_cell=0.00 pbc="T T T"
O 0.328 2.231 0.523
O -5.223 -2.509 -1.886
O -0.636 -0.305 -0.229
O -3.894 0.220 -0.998
O -3.527 -1.813 0.691
O -2.569 -1.115 -2.892
Bi -4.578 0.002 -3.204
Bi -5.532 -0.694 0.365
Zn -2.267 -1.089 -0.819
Ti -6.752 -3.243 -2.438



7.
5
Lattice="-0.358 4.819 0.725 -4.421 -0.482 1.020 1.153 -0.623 4.707" Properties=species:S:1:pos:R:3 comment="TiTlCu2F, optimized geometry, DFT PBE" raw_formation_energy_kj_per_mol_fu=268.2 e_tot_ev_per_atom=-3.509 volume_a3_per_cell=108.91 dos_ef_per_ev_cell=5.24 pbc="T T T"
Cu 0.577 -0.311 2.353
Cu -0.179 2.409 0.362
Ti -1.812 1.857 3.226
Tl 0.000 0.000 0.000
F -2.210 -0.241 0.510



8.
5
Lattice="4.735 0.000 0.000 0.000 4.735 0.000 0.000 0.000 4.735" Properties=species:S:1:pos:R:3 comment="CuSb3O, optimized geometry, DFT PBE" raw_formation_energy_kj_per_mol_fu=107.7 e_tot_ev_per_atom=-4.061 volume_a3_per_cell=106.19 dos_ef_per_ev_cell=5.00 pbc="T T T"
Sb 2.368 0.000 0.000
Sb 0.000 0.000 2.368
Sb 0.000 2.368 0.000
O 0.000 0.000 0.000
Cu 2.368 2.368 2.368